Density functional theory data (PBE) for an optimized crystal structure of UMn2Fe.

abc: 3.759 3.759 3.842
angles: 90.00 90.00 90.00
Fractional positions:
U 0.000 0.000 0.000
Mn 0.000 0.500 0.500
Mn 0.500 0.000 0.500
Fe 0.500 0.500 0.000

- Volume: 13.569 Å³ per atom
- DOS at the Fermi energy: 6.350 states/eV/f.u.
- Formation energy: 0.31 eV/f.u.
- Final energy: -37.78 eV/cell